## PaPCl (PBE)

Data for an optimized crystal structure of PaPCl.

Geometry as CIF:
```
data_PaPCl
_chemical_formula_sum 'Pa2 P2 Cl2'
_symmetry_space_group_name_H-M 'P 1'
_symmetry_Int_Tables_number 1
_symmetry_space_group_name_Hall 'P 1'
_cell_length_a 9.8111
_cell_length_b 9.8111
_cell_length_c 9.8111
_cell_angle_alpha 26.38
_cell_angle_beta 26.38
_cell_angle_gamma 26.38
loop_
_atom_site_label
_atom_site_fract_x
_atom_site_fract_y
_atom_site_fract_z
Pa1 0.2274 0.2274 0.2274
Pa2 0.7726 0.7726 0.7726
P1 0.1318 0.1318 0.1318
P2 0.8682 0.8682 0.8682
Cl1 0.3835 0.3835 0.3835
Cl2 0.6165 0.6165 0.6165
```

The calculation puts the formation energy from raw total energies at -26.927 kcal/mol of atoms. For the density of states at the Fermi level, the calculation gives 1.329 states/eV/atom.


## PaPCl (PBE)

Data for an optimized crystal structure of PaPCl.

Geometry as CIF:
```
data_PaPCl
_chemical_formula_sum 'Pa2 P2 Cl2'
_symmetry_space_group_name_H-M 'P 1'
_symmetry_Int_Tables_number 1
_symmetry_space_group_name_Hall 'P 1'
_cell_length_a 3.9381
_cell_length_b 3.9397
_cell_length_c 11.8747
_cell_angle_alpha 90.00
_cell_angle_beta 98.95
_cell_angle_gamma 90.00
loop_
_atom_site_label
_atom_site_fract_x
_atom_site_fract_y
_atom_site_fract_z
Pa1 0.1865 0.2500 0.3647
Pa2 0.8135 0.7500 0.6353
P1 0.3017 0.2500 0.6103
P2 0.6983 0.7500 0.3897
Cl1 0.0866 0.2500 0.1519
Cl2 0.9134 0.7500 0.8482
```

The calculation puts the formation energy from raw total energies at -30.905 kcal/mol of atoms. For the density of states at the Fermi level, the calculation gives 0.974 states/eV/atom.


Q: Which value of formation energy from raw total energies does entry 1 give?
A: -26.927 kcal/mol of atoms


Q: Number 1 is which compound?
A: PaPCl